Computed, not measured: CrFeWF2 after structural relaxation at the PBE with a Hubbard U level of DFT.

The space group is P4/mmm (No. 123) and the conventional cell measures 4.196, 4.196 and 5.853 Å, with angles of 90.00, 90.00 and 90.00 degrees. The distinct sites, in fractional coordinates, are Cr at (0.000, 0.000, 0.000), Fe at (0.500, 0.500, 0.000), W at (0.500, 0.500, 0.500) and F at (0.000, 0.500, 0.500).

The total DFT energy (no corrections) comes out at -5.170 eV per atom. As for the total magnetization: 11.54 Bohr magnetons per cell.